Record 1
# RhSe5 PBE relaxed
# total moment = 5.98 μB per cell
# electronic total energy = -19.047 eV/f.u.
# ρ = 6.68 g cm⁻³
# excess energy over the best structure of this formula in the dataset = 1076 meV per atom
# uncorrected formation energy = 955 meV per atom
data_RhSe5
_chemical_formula_sum 'Rh4 Se20'
_space_group_name_H-M_alt 'F -4 3 m'
_space_group_IT_number 216
_space_group_name_Hall 'F -4 2 3'
_cell_length_a 7.909
_cell_length_b 7.909
_cell_length_c 7.909
_cell_angle_alpha 90.00
_cell_angle_beta 90.00
_cell_angle_gamma 90.00
loop_
_atom_site_label
_atom_site_type_symbol
_atom_site_fract_x
_atom_site_fract_y
_atom_site_fract_z
Rh1 Rh 0.000 0.000 0.000
Se1 Se 0.126 0.126 0.374
Se2 Se 0.250 0.250 0.750

***

Record 2
# Rh5Se PBE relaxed
# total moment = 8.20 μB per cell
# electronic total energy = -36.862 eV/f.u.
# ρ = 10.30 g cm⁻³
# uncorrected formation energy = 563 meV per atom
data_Rh5Se
_chemical_formula_sum 'Rh20 Se4'
_space_group_name_H-M_alt 'F -4 3 m'
_space_group_IT_number 216
_space_group_name_Hall 'F -4 2 3'
_cell_length_a 7.260
_cell_length_b 7.260
_cell_length_c 7.260
_cell_angle_alpha 90.00
_cell_angle_beta 90.00
_cell_angle_gamma 90.00
loop_
_atom_site_label
_atom_site_type_symbol
_atom_site_fract_x
_atom_site_fract_y
_atom_site_fract_z
Rh1 Rh 0.000 0.000 0.000
Rh2 Rh 0.125 0.125 0.625
Se1 Se 0.250 0.250 0.250

***

Record 3
# RhSe2 PBE relaxed
# total moment = 0.00 μB per cell
# electronic total energy = -14.330 eV/f.u.
# ρ = 7.41 g cm⁻³
# uncorrected formation energy = -3 meV per atom
data_RhSe2
_chemical_formula_sum 'Rh2 Se4'
_space_group_name_H-M_alt 'I 4/m m m'
_space_group_IT_number 139
_space_group_name_Hall '-I 4 2'
_cell_length_a 3.074
_cell_length_b 3.074
_cell_length_c 12.373
_cell_angle_alpha 90.00
_cell_angle_beta 90.00
_cell_angle_gamma 90.00
loop_
_atom_site_label
_atom_site_type_symbol
_atom_site_fract_x
_atom_site_fract_y
_atom_site_fract_z
Rh1 Rh 0.000 0.000 0.000
Se1 Se 0.000 0.000 0.374

***

Record 4
# RhSe5 PBE relaxed
# total moment = 0.00 μB per cell
# electronic total energy = -24.681 eV/f.u.
# ρ = 5.37 g cm⁻³
# excess energy over the best structure of this formula in the dataset = 137 meV per atom
# uncorrected formation energy = 15 meV per atom
data_RhSe5
_chemical_formula_sum 'Rh2 Se10'
_space_group_name_H-M_alt 'C 1 m 1'
_space_group_IT_number 8
_cell_length_a 12.688
_cell_length_b 3.546
_cell_length_c 8.081
_cell_angle_alpha 90.00
_cell_angle_beta 122.20
_cell_angle_gamma 90.00
loop_
_space_group_symop_operation_xyz
'x,y,z'
'x,-y,z'
'x+1/2,y+1/2,z'
'x+1/2,-y+1/2,z'
loop_
_atom_site_label
_atom_site_type_symbol
_atom_site_fract_x
_atom_site_fract_y
_atom_site_fract_z
Rh1 Rh 0.000 0.000 0.000
Se1 Se 0.057 0.000 0.344
Se2 Se 0.162 0.500 0.049
Se3 Se 0.216 0.500 0.544
Se4 Se 0.371 0.000 0.030
Se5 Se 0.474 0.000 0.735